[1]
A PBEsol-optimized structure of Li2BeZn. Source: Alexandria, functional SCAN.

Lattice parameters (Å, degrees): 2.424 3.924 5.318 90.00 90.00 90.00
Positions (direct):
Zn (0.000, 0.000, 0.527)
Li (0.000, 0.000, 0.987)
Li (0.500, 0.500, 0.262)
Be (0.500, 0.500, 0.725)

* SG: No. 25
* uncorrected energy: -22.6 eV per cell
* spin magnetization: 0.0 μB per formula unit
* calculated density: 2.899 g/cm3

***

[2]
A PBEsol-optimized structure of Li2BeZn. Source: Alexandria, functional SCAN.

Lattice parameters (Å, degrees): 2.557 2.557 9.042 81.87 81.87 60.00
Positions (direct):
Li (0.253, 0.253, 0.240)
Li (0.747, 0.747, 0.760)
Zn (0.500, 0.500, 0.500)
Be (0.000, 0.000, 0.000)

* SG: No. 166
* uncorrected energy: -22.2 eV per cell
* spin magnetization: 0.1 μB per formula unit
* calculated density: 2.902 g/cm3

***

[3]
A PBEsol-optimized structure of Li2BeZn. Source: Alexandria, functional SCAN.

Lattice parameters (Å, degrees): 2.818 2.818 6.755 90.00 90.00 90.00
Positions (direct):
Zn (0.000, 0.000, 0.539)
Li (0.000, 0.000, 0.960)
Li (0.500, 0.500, 0.278)
Be (0.500, 0.500, 0.724)

* SG: No. 99
* uncorrected energy: -22.6 eV per cell
* spin magnetization: 0.0 μB per formula unit
* calculated density: 2.734 g/cm3

***

[4]
A PBEsol-optimized structure of LiBe2Zn. Source: Alexandria, functional SCAN.

Lattice parameters (Å, degrees): 2.398 4.386 4.386 112.83 90.00 90.00
Positions (direct):
Be (0.000, 0.000, 0.500)
Be (0.000, 0.500, 0.000)
Zn (0.500, 0.500, 0.500)
Li (0.500, 0.000, 0.000)

* SG: No. 65
* uncorrected energy: -24.0 eV per cell
* spin magnetization: 0.1 μB per formula unit
* calculated density: 3.530 g/cm3

***

[5]
A PBEsol-optimized structure of LiZrBe2. Source: Alexandria, functional SCAN.

Lattice parameters (Å, degrees): 4.212 4.212 4.212 60.00 60.00 60.00
Positions (direct):
Be (0.750, 0.750, 0.750)
Be (0.250, 0.250, 0.250)
Zr (0.500, 0.500, 0.500)
Li (0.000, 0.000, 0.000)

* SG: No. 225
* uncorrected energy: -41.3 eV per cell
* spin magnetization: 0.0 μB per formula unit
* calculated density: 3.651 g/cm3

***

[6]
A PBEsol-optimized structure of Li2ZrBe. Source: Alexandria, functional SCAN.

Lattice parameters (Å, degrees): 2.649 4.429 5.752 95.85 90.00 107.40
Last column: magnetic moment on the atom in μB.
Positions (direct):
Li (0.992, 0.984, 0.997)  0.00
Li (0.745, 0.490, 0.199)  0.00
Be (0.252, 0.503, 0.767)  0.01
Zr (0.511, 0.023, 0.537)  -0.07

* SG: No. 8
* uncorrected energy: -38.5 eV per cell
* spin magnetization: 0.1 μB per formula unit
* calculated density: 2.960 g/cm3